(1)
A relaxed Cs3NaMn2Br9 crystal, computed with PBE.

Raw formation energy = -1279 meV/atom
Calculated total energy = -3.7643 eV/atom

Lattice parameters (Å, degrees): 7.7340 7.7340 9.6058 90.00 90.00 120.00
Site moments in Bohr magnetons follow the coordinates.
Atoms (fractional coordinates):
Br  0.6507  0.8254  0.3137  0.03
Br  0.1746  0.8254  0.3137  0.03
Br  0.0000  0.5000  0.0000  -0.01
Br  0.5000  0.5000  0.0000  -0.01
Br  0.8254  0.1746  0.6863  0.03
Br  0.5000  0.0000  0.0000  -0.01
Br  0.3493  0.1746  0.6863  0.03
Br  0.8254  0.6507  0.6863  0.03
Br  0.1746  0.3493  0.3137  0.03
Mn  0.6667  0.3333  0.8339  4.09
Mn  0.3333  0.6667  0.1661  4.09
Cs  0.0000  0.0000  0.0000  0.00
Cs  0.6667  0.3333  0.3361  0.00
Cs  0.3333  0.6667  0.6639  0.00
Na  0.0000  0.0000  0.5000  0.01

=====

(2)
A relaxed Sm4Tm3Se8 crystal, computed with PBE.

Raw formation energy = -1600 meV/atom
Relative energy among the computed polymorphs = 212 meV per atom
Calculated total energy = -5.6107 eV/atom

Lattice parameters (Å, degrees): 8.0480 8.0480 8.8972 63.11 63.11 60.00
Atoms (fractional coordinates):
Se  0.7497  0.7497  0.2652
Se  0.7646  0.2503  0.7348
Se  0.2312  0.2312  0.3064
Se  0.7497  0.2354  0.2652
Se  0.7688  0.7688  0.6936
Se  0.2354  0.7497  0.2652
Se  0.2503  0.7646  0.7348
Se  0.2503  0.2503  0.7348
Sm  0.3539  0.3539  0.9384
Sm  0.5000  0.5000  0.5000
Sm  0.0000  0.0000  0.0000
Sm  0.6461  0.6461  0.0616
Tm  0.0000  0.0000  0.5000
Tm  0.5000  0.0000  0.5000
Tm  0.0000  0.5000  0.5000

=====

(3)
A relaxed Ba5SrCd6 crystal, computed with PBE.

Formation energy = -323 meV/atom
Calculated total energy = -1.7215 eV/atom

Lattice parameters (Å, degrees): 5.9928 8.4140 9.4833 90.00 71.58 90.00
Atoms (fractional coordinates):
Ba  0.0000  0.5000  0.0000
Ba  0.6662  0.0000  0.6677
Ba  0.6678  0.5000  0.6644
Ba  0.3338  0.0000  0.3323
Ba  0.3322  0.5000  0.3356
Cd  0.1643  0.7544  0.6714
Cd  0.8357  0.7544  0.3286
Cd  0.5000  0.2422  0.0000
Cd  0.8357  0.2456  0.3286
Cd  0.1643  0.2456  0.6714
Cd  0.5000  0.7578  0.0000
Sr  0.0000  0.0000  0.0000

=====

(4)
A relaxed AlHgPt2 crystal, computed with PBE.

Relative energy among the computed polymorphs = 316 meV per atom
Formation energy = -273 meV/atom
Calculated total energy = -4.3049 eV/atom

Lattice parameters (Å, degrees): 3.4071 3.4071 5.9309 90.00 90.00 90.00
Atoms (fractional coordinates):
Hg  0.5000  0.5000  0.7625
Pt  0.5000  0.5000  0.2890
Pt  0.0000  0.0000  0.0065
Al  0.0000  0.0000  0.4420

=====

(5)
A relaxed SiTc3Pd crystal, computed with PBE.

Raw formation energy = 2193 meV/atom
Relative energy among the computed polymorphs = 1274 meV per atom
Calculated total energy = -6.1493 eV/atom

Lattice parameters (Å, degrees): 4.7343 4.7343 4.7343 90.00 90.00 90.00
Site moments in Bohr magnetons follow the coordinates.
Atoms (fractional coordinates):
Pd  0.0000  0.0000  0.0000  0.43
Tc  0.5000  0.0000  0.0000  1.44
Tc  0.0000  0.0000  0.5000  2.35
Tc  0.0000  0.5000  0.0000  1.80
Si  0.5000  0.5000  0.5000  -0.08

=====

(6)
A relaxed LaZr2SeF crystal, computed with PBE.

Raw formation energy = -283 meV/atom
Calculated total energy = -5.7586 eV/atom

Lattice parameters (Å, degrees): 4.9774 5.9589 4.9774 90.00 90.00 90.00
Site moments in Bohr magnetons follow the coordinates.
Atoms (fractional coordinates):
La  0.0000  0.5000  0.0000  0.29
F  0.5000  0.5000  0.5000  0.06
Zr  0.5000  0.0000  0.0000  0.38
Zr  0.0000  0.0000  0.5000  0.46
Se  0.0000  0.0000  0.0000  0.00

=====

Table of M_tot (μB/f.u.), in record order: 9.000, 0.000, 0.000, 0.000, 6.300, 2.373